1.
# NaYOs2O8 | Alexandria via LeMat-Bulk | PBE-GGA | optimized geometry
# Theoretical density = 6.5 Mg/m³
# Formation energy without anion corrections = -1529 meV per atom
data_NaYOs2O8
_chemical_formula_sum 'Na2 Y2 Os4 O16'
_symmetry_space_group_name_H-M 'I -4'
_symmetry_Int_Tables_number 82
_cell_length_a 5.2617
_cell_length_b 5.2617
_cell_length_c 11.4947
_cell_angle_alpha 90.00
_cell_angle_beta 90.00
_cell_angle_gamma 90.00
loop_
_symmetry_equiv_pos_as_xyz
'x,y,z'
'y,-x,-z'
'-x,-y,z'
'-y,x,-z'
'x+1/2,y+1/2,z+1/2'
'y+1/2,-x+1/2,-z+1/2'
'-x+1/2,-y+1/2,z+1/2'
'-y+1/2,x+1/2,-z+1/2'
loop_
_atom_site_label
_atom_site_fract_x
_atom_site_fract_y
_atom_site_fract_z
_atom_site_occupancy
Na1 0.0000 0.0000 0.0000 1
Y1 0.0000 0.5000 0.7500 1
Os1 0.0000 0.0000 0.5000 1
Os2 0.0000 0.5000 0.2500 1
O1 0.1514 0.2448 0.5870 1
O2 0.1698 0.7503 0.1732 1


2.
# Na2Zn2OsO6 | Alexandria via LeMat-Bulk | PBE-GGA | optimized geometry
# Theoretical density = 5.6 Mg/m³
# Formation energy without anion corrections = -1289 meV per atom
data_Na2Zn2OsO6
_chemical_formula_sum 'Na4 Zn4 Os2 O12'
_symmetry_space_group_name_H-M 'C 1 2/m 1'
_symmetry_Int_Tables_number 12
_cell_length_a 5.4899
_cell_length_b 9.1243
_cell_length_c 5.7852
_cell_angle_alpha 90.00
_cell_angle_beta 110.06
_cell_angle_gamma 90.00
loop_
_symmetry_equiv_pos_as_xyz
'x,y,z'
'-x,-y,-z'
'-x,y,-z'
'x,-y,z'
'x+1/2,y+1/2,z'
'-x+1/2,-y+1/2,-z'
'-x+1/2,y+1/2,-z'
'x+1/2,-y+1/2,z'
loop_
_atom_site_label
_atom_site_fract_x
_atom_site_fract_y
_atom_site_fract_z
_atom_site_occupancy
Na1 0.0000 0.1767 0.0000 1
Zn1 0.0000 0.3379 0.5000 1
Os1 0.0000 0.0000 0.5000 1
O1 0.2165 0.1557 0.6972 1
O2 0.2314 0.0000 0.3076 1


3.
# NaZnOs2O8 | Alexandria via LeMat-Bulk | PBE-GGA | optimized geometry
# Theoretical density = 6.9 Mg/m³
# Formation energy without anion corrections = -1098 meV per atom
data_NaZnOs2O8
_chemical_formula_sum 'Na2 Zn2 Os4 O16'
_symmetry_space_group_name_H-M 'C 1 2/m 1'
_symmetry_Int_Tables_number 12
_cell_length_a 6.9410
_cell_length_b 6.7065
_cell_length_c 6.2124
_cell_angle_alpha 90.00
_cell_angle_beta 91.82
_cell_angle_gamma 90.00
loop_
_symmetry_equiv_pos_as_xyz
'x,y,z'
'-x,-y,-z'
'-x,y,-z'
'x,-y,z'
'x+1/2,y+1/2,z'
'-x+1/2,-y+1/2,-z'
'-x+1/2,y+1/2,-z'
'x+1/2,-y+1/2,z'
loop_
_atom_site_label
_atom_site_fract_x
_atom_site_fract_y
_atom_site_fract_z
_atom_site_occupancy
Na1 0.0000 0.0000 0.0000 1
Zn1 0.0000 0.0000 0.5000 1
Os1 0.0045 0.5000 0.2555 1
O1 0.0116 0.2324 0.7292 1
O2 0.1692 0.5000 0.0104 1
O3 0.1951 0.5000 0.4991 1


4.
# Na3Zn2OsO6 | Alexandria via LeMat-Bulk | PBE-GGA | optimized geometry
# Theoretical density = 5.9 Mg/m³
# Formation energy without anion corrections = -1372 meV per atom
data_Na3Zn2OsO6
_chemical_formula_sum 'Na6 Zn4 Os2 O12'
_symmetry_space_group_name_H-M 'C 1 2/m 1'
_symmetry_Int_Tables_number 12
_cell_length_a 5.4379
_cell_length_b 9.3937
_cell_length_c 5.6716
_cell_angle_alpha 90.00
_cell_angle_beta 108.86
_cell_angle_gamma 90.00
loop_
_symmetry_equiv_pos_as_xyz
'x,y,z'
'-x,-y,-z'
'-x,y,-z'
'x,-y,z'
'x+1/2,y+1/2,z'
'-x+1/2,-y+1/2,-z'
'-x+1/2,y+1/2,-z'
'x+1/2,-y+1/2,z'
loop_
_atom_site_label
_atom_site_fract_x
_atom_site_fract_y
_atom_site_fract_z
_atom_site_occupancy
Na1 0.0000 0.0000 0.0000 1
Na2 0.0000 0.3282 0.0000 1
Zn1 0.0000 0.1663 0.5000 1
Os1 0.0000 0.5000 0.5000 1
O1 0.2234 0.3445 0.7057 1
O2 0.2418 0.5000 0.2968 1


5.
# Na2ZnOsO6 | Alexandria via LeMat-Bulk | PBE-GGA | optimized geometry
# Theoretical density = 5.6 Mg/m³
# Formation energy without anion corrections = -1252 meV per atom
data_Na2ZnOsO6
_chemical_formula_sum 'Na4 Zn2 Os2 O12'
_symmetry_space_group_name_H-M 'C 1 2/m 1'
_symmetry_Int_Tables_number 12
_cell_length_a 9.4407
_cell_length_b 5.5376
_cell_length_c 5.4914
_cell_angle_alpha 90.00
_cell_angle_beta 125.10
_cell_angle_gamma 90.00
loop_
_symmetry_equiv_pos_as_xyz
'x,y,z'
'-x,-y,-z'
'-x,y,-z'
'x,-y,z'
'x+1/2,y+1/2,z'
'-x+1/2,-y+1/2,-z'
'-x+1/2,y+1/2,-z'
'x+1/2,-y+1/2,z'
loop_
_atom_site_label
_atom_site_fract_x
_atom_site_fract_y
_atom_site_fract_z
_atom_site_occupancy
Na1 0.2485 0.0000 0.2340 1
Zn1 0.0000 0.0000 0.5000 1
Os1 0.0000 0.5000 0.0000 1
O1 0.0478 0.2617 0.8142 1
O2 0.2332 0.5000 0.3236 1


6.
# NaZr2OsO8 | Alexandria via LeMat-Bulk | PBE-GGA | optimized geometry
# Theoretical density = 5.6 Mg/m³
# Formation energy without anion corrections = -2158 meV per atom
data_NaZr2OsO8
_chemical_formula_sum 'Na2 Zr4 Os2 O16'
_symmetry_space_group_name_H-M 'C m m m'
_symmetry_Int_Tables_number 65
_symmetry_space_group_name_Hall '-C 2 2'
_cell_length_a 6.8281
_cell_length_b 6.8890
_cell_length_c 6.6160
_cell_angle_alpha 90.00
_cell_angle_beta 90.00
_cell_angle_gamma 90.00
loop_
_atom_site_label
_atom_site_fract_x
_atom_site_fract_y
_atom_site_fract_z
_atom_site_occupancy
Na1 0.0000 0.0000 0.0000 1
Zr1 0.0000 0.5000 0.2383 1
Os1 0.0000 0.0000 0.5000 1
O1 0.0000 0.2853 0.5000 1
O2 0.0000 0.3152 0.0000 1
O3 0.1953 0.0000 0.3006 1


7.
# Na2ZrOsO6 | Alexandria via LeMat-Bulk | PBE-GGA | optimized geometry
# Theoretical density = 5.4 Mg/m³
# Formation energy without anion corrections = -1882 meV per atom
data_Na2ZrOsO6
_chemical_formula_sum 'Na2 Zr1 Os1 O6'
_symmetry_space_group_name_H-M 'P 4/m m m'
_symmetry_Int_Tables_number 123
_symmetry_space_group_name_Hall '-P 4 2'
_cell_length_a 5.6871
_cell_length_b 5.6871
_cell_length_c 4.0011
_cell_angle_alpha 90.00
_cell_angle_beta 90.00
_cell_angle_gamma 90.00
loop_
_atom_site_label
_atom_site_fract_x
_atom_site_fract_y
_atom_site_fract_z
_atom_site_occupancy
Na1 0.0000 0.5000 0.0000 1
Zr1 0.0000 0.0000 0.5000 1
Os1 0.5000 0.5000 0.5000 1
O1 0.0000 0.0000 0.0000 1
O2 0.2628 0.2628 0.5000 1
O3 0.5000 0.5000 0.0000 1


8.
# Na3PO | Alexandria via LeMat-Bulk | PBE-GGA | optimized geometry
# Theoretical density = 2.0 Mg/m³
# Formation energy without anion corrections = -520 meV per atom
data_Na3PO
_chemical_formula_sum 'Na3 P1 O1'
_symmetry_space_group_name_H-M 'P m -3 m'
_symmetry_Int_Tables_number 221
_symmetry_space_group_name_Hall '-P 4 2 3'
_cell_length_a 4.5887
_cell_length_b 4.5887
_cell_length_c 4.5887
_cell_angle_alpha 90.00
_cell_angle_beta 90.00
_cell_angle_gamma 90.00
loop_
_atom_site_label
_atom_site_fract_x
_atom_site_fract_y
_atom_site_fract_z
_atom_site_occupancy
Na1 0.0000 0.0000 0.5000 1
P1 0.5000 0.5000 0.5000 1
O1 0.0000 0.0000 0.0000 1


9.
# NaP2O6 | Alexandria via LeMat-Bulk | PBE-GGA | optimized geometry
# Theoretical density = 2.3 Mg/m³
# Formation energy without anion corrections = -1890 meV per atom
data_NaP2O6
_chemical_formula_sum 'Na4 P8 O24'
_symmetry_space_group_name_H-M 'C 1 2/c 1'
_symmetry_Int_Tables_number 15
_cell_length_a 10.6429
_cell_length_b 10.0222
_cell_length_c 4.9736
_cell_angle_alpha 90.00
_cell_angle_beta 103.05
_cell_angle_gamma 90.00
loop_
_symmetry_equiv_pos_as_xyz
'x,y,z'
'-x,-y,-z'
'-x,y,-z+1/2'
'x,-y,z+1/2'
'x+1/2,y+1/2,z'
'-x+1/2,-y+1/2,-z'
'-x+1/2,y+1/2,-z+1/2'
'x+1/2,-y+1/2,z+1/2'
loop_
_atom_site_label
_atom_site_fract_x
_atom_site_fract_y
_atom_site_fract_z
_atom_site_occupancy
Na1 0.0000 0.1205 0.2500 1
P1 0.2146 0.4196 0.2417 1
O1 0.1411 0.0694 0.6876 1
O2 0.1511 0.4990 0.4625 1
O3 0.1554 0.2825 0.2111 1


10.
# NaP2O2 | Alexandria via LeMat-Bulk | PBE-GGA | optimized geometry
# Theoretical density = 2.2 Mg/m³
# Formation energy without anion corrections = 1698 meV per atom
data_NaP2O2
_chemical_formula_sum 'Na1 P2 O2'
_symmetry_space_group_name_H-M 'P 4/m m m'
_symmetry_Int_Tables_number 123
_symmetry_space_group_name_Hall '-P 4 2'
_cell_length_a 4.8169
_cell_length_b 4.8169
_cell_length_c 3.8339
_cell_angle_alpha 90.00
_cell_angle_beta 90.00
_cell_angle_gamma 90.00
loop_
_atom_site_label
_atom_site_fract_x
_atom_site_fract_y
_atom_site_fract_z
_atom_site_occupancy
Na1 0.0000 0.0000 0.0000 1
P1 0.0000 0.5000 0.0000 1
O1 0.0000 0.0000 0.5000 1
O2 0.5000 0.5000 0.5000 1


11.
# NaPO2 | Alexandria via LeMat-Bulk | PBE-GGA | optimized geometry
# Theoretical density = 2.3 Mg/m³
# Formation energy without anion corrections = -1280 meV per atom
data_NaPO2
_chemical_formula_sum 'Na3 P3 O6'
_symmetry_space_group_name_H-M 'R -3 m'
_symmetry_Int_Tables_number 166
_symmetry_space_group_name_Hall '-R 3 2"'
_cell_length_a 3.5087
_cell_length_b 3.5087
_cell_length_c 17.2090
_cell_angle_alpha 90.00
_cell_angle_beta 90.00
_cell_angle_gamma 120.00
loop_
_atom_site_label
_atom_site_fract_x
_atom_site_fract_y
_atom_site_fract_z
_atom_site_occupancy
Na1 0.0000 0.0000 0.0000 1
P1 0.0000 0.0000 0.5000 1
O1 0.0000 0.0000 0.4103 1


12.
# Na3PO6 | Alexandria via LeMat-Bulk | PBE-GGA | optimized geometry
# Theoretical density = 2.6 Mg/m³
# Formation energy without anion corrections = -1228 meV per atom
data_Na3PO6
_chemical_formula_sum 'Na6 P2 O12'
_symmetry_space_group_name_H-M 'P 63 2 2'
_symmetry_Int_Tables_number 182
_symmetry_space_group_name_Hall 'P 6c 2c'
_cell_length_a 5.6269
_cell_length_b 5.6269
_cell_length_c 9.2410
_cell_angle_alpha 90.00
_cell_angle_beta 90.00
_cell_angle_gamma 120.00
loop_
_atom_site_label
_atom_site_fract_x
_atom_site_fract_y
_atom_site_fract_z
_atom_site_occupancy
Na1 0.0000 0.0000 0.0000 1
Na2 0.3333 0.6667 0.0838 1
P1 0.3333 0.6667 0.7500 1
O1 0.1034 0.4106 0.6479 1


> formation energy without anion corrections of number 10 (NaP2O2)?

1698 meV per atom